Entry from Alexandria: an optimized crystal structure of PaMnNi10 (GGA-PBE). Values from VASP.

Geometry as Quantum ESPRESSO input:
```
&SYSTEM
  ibrav = 0, nat = 12, ntyp = 3
/
ATOMIC_SPECIES
Pa 231.04 Pa.upf
Mn 54.94 Mn.upf
Ni 58.69 Ni.upf
ATOMIC_POSITIONS crystal
Pa 0.0000 0.0000 0.0000
Mn 0.0000 0.5000 0.5000
Ni 0.0000 0.0000 0.3377
Ni 0.0000 0.5000 0.8243
Ni 0.0000 0.5000 0.1757
Ni 0.0000 0.0000 0.6623
Ni 0.5000 0.0000 0.5000
Ni 0.5000 0.5000 0.0000
Ni 0.5000 0.2502 0.2525
Ni 0.5000 0.7498 0.7475
Ni 0.5000 0.7498 0.2525
Ni 0.5000 0.2502 0.7475
CELL_PARAMETERS angstrom
-1.4438 -3.5187 -1.2414
1.5087 -2.0399 4.0275
-7.1756 1.6933 3.5456
```

## Properties
**Space-group type**: Pmmm (47)
**Formation enthalpy at 0 K**: -0.13 eV/atom

=====

Entry from Alexandria: an optimized crystal structure of BaAc4La (GGA-PBE). Values from VASP.

Geometry as Quantum ESPRESSO input:
```
&SYSTEM
  ibrav = 0, nat = 6, ntyp = 3
/
ATOMIC_SPECIES
Ba 137.33 Ba.upf
Ac 227.00 Ac.upf
La 138.91 La.upf
ATOMIC_POSITIONS crystal
Ba 0.0000 0.0000 0.0000
Ac 0.5000 0.5000 0.8131
Ac 0.5000 0.5000 0.1869
Ac 0.0000 0.0000 0.6541
Ac 0.0000 0.0000 0.3459
La 0.5000 0.5000 0.5000
CELL_PARAMETERS angstrom
-3.6050 -0.1106 1.7217
0.7770 -3.6650 1.3916
6.6279 6.8412 14.3166
```

## Properties
**Space-group type**: P4/mmm (123)
**Formation enthalpy at 0 K**: 0.04 eV/atom
**E above lowest polymorph**: 0 meV/atom

=====

Entry from Alexandria: an optimized crystal structure of AlAs2W (GGA-PBE). Values from VASP.

Geometry as Quantum ESPRESSO input:
```
&SYSTEM
  ibrav = 0, nat = 4, ntyp = 3
/
ATOMIC_SPECIES
As 74.92 As.upf
Al 26.98 Al.upf
W 183.84 W.upf
ATOMIC_POSITIONS crystal
As 0.0161 0.0161 0.0161
As 0.2332 0.2332 0.2332
Al 0.7549 0.7549 0.7549
W 0.4958 0.4958 0.4958
CELL_PARAMETERS angstrom
9.8875 -0.0090 -0.0053
9.4481 2.9146 -0.0053
9.4481 1.4198 2.5455
```

## Properties
**Space-group type**: R3m (160)
**Formation enthalpy at 0 K**: 0.14 eV/atom
**E above lowest polymorph**: 79 meV/atom

=====

Entry from Alexandria: an optimized crystal structure of AcZnAs2 (GGA-PBE). Values from VASP.

Geometry as Quantum ESPRESSO input:
```
&SYSTEM
  ibrav = 0, nat = 4, ntyp = 3
/
ATOMIC_SPECIES
Zn 65.41 Zn.upf
Ac 227.00 Ac.upf
As 74.92 As.upf
ATOMIC_POSITIONS crystal
Zn 0.5000 0.5000 0.5000
Ac 0.0000 0.0000 0.0000
As 0.2500 0.2500 0.2500
As 0.7500 0.7500 0.7500
CELL_PARAMETERS angstrom
5.1399 0.0000 0.0000
2.5699 4.4513 0.0000
2.5699 1.4838 4.1967
```

## Properties
**Space-group type**: Fm-3m (225)
**Formation enthalpy at 0 K**: -0.38 eV/atom
**E above lowest polymorph**: 350 meV/atom

=====

Entry from Alexandria: an optimized crystal structure of Hf4TiCo5 (GGA-PBE). Values from VASP.

Geometry as Quantum ESPRESSO input:
```
&SYSTEM
  ibrav = 0, nat = 10, ntyp = 3
/
ATOMIC_SPECIES
Hf 178.49 Hf.upf
Ti 47.87 Ti.upf
Co 58.93 Co.upf
ATOMIC_POSITIONS crystal
Hf 0.0000 0.0000 0.1937
Hf 0.0000 0.0000 0.3978
Hf 0.0000 0.0000 0.6022
Hf 0.0000 0.0000 0.8063
Ti 0.0000 0.0000 0.0000
Co 0.5000 0.5000 0.0911
Co 0.5000 0.5000 0.2959
Co 0.5000 0.5000 0.5000
Co 0.5000 0.5000 0.7041
Co 0.5000 0.5000 0.9089
CELL_PARAMETERS angstrom
3.1370 0.0000 0.0000
0.0000 3.1370 0.0000
0.0000 0.0000 15.5206
```

## Properties
**Space-group type**: P4/mmm (123)
**Formation enthalpy at 0 K**: -0.38 eV/atom

=====

Entry from Alexandria: an optimized crystal structure of La4Pm3Th (GGA-PBE). Values from VASP.

Geometry as Quantum ESPRESSO input:
```
&SYSTEM
  ibrav = 0, nat = 8, ntyp = 3
/
ATOMIC_SPECIES
Pm 145.00 Pm.upf
Th 232.04 Th.upf
La 138.91 La.upf
ATOMIC_POSITIONS crystal
Pm 0.0000 0.5000 0.0000
Pm 0.1413 0.7501 0.2826
Pm 0.8587 0.2499 0.7174
Th 0.5000 0.0000 0.0000
La 0.7213 0.2409 0.4425
La 0.2787 0.7591 0.5575
La 0.1046 0.2350 0.2093
La 0.8954 0.7650 0.7907
CELL_PARAMETERS angstrom
-2.9584 1.9008 -0.0834
-3.4271 -5.3308 0.0752
1.8306 0.1554 12.7849
```

## Properties
**Space-group type**: C2/m (12)
**Formation enthalpy at 0 K**: 0.21 eV/atom
**E above lowest polymorph**: 0 meV/atom

=====

Entry from Alexandria: an optimized crystal structure of BeBIr2 (GGA-PBE). Values from VASP.

Geometry as Quantum ESPRESSO input:
```
&SYSTEM
  ibrav = 0, nat = 4, ntyp = 3
/
ATOMIC_SPECIES
Be 9.01 Be.upf
B 10.81 B.upf
Ir 192.22 Ir.upf
ATOMIC_POSITIONS crystal
Be 0.0000 0.0000 0.0000
B 0.0000 0.5000 0.5000
Ir 0.8175 0.3415 0.1589
Ir 0.1825 0.6585 0.8411
CELL_PARAMETERS angstrom
3.6366 -1.6260 -4.0883
-1.4239 3.7204 4.0883
-2.5650 0.4939 6.3889
```

## Properties
**Space-group type**: C2/m (12)
**Formation enthalpy at 0 K**: 0.01 eV/atom
**E above lowest polymorph**: 323 meV/atom

=====

Entry from Alexandria: an optimized crystal structure of InRhBr2 (GGA-PBE). Values from VASP.

Geometry as Quantum ESPRESSO input:
```
&SYSTEM
  ibrav = 0, nat = 4, ntyp = 3
/
ATOMIC_SPECIES
Rh 102.91 Rh.upf
Br 79.90 Br.upf
In 114.82 In.upf
ATOMIC_POSITIONS crystal
Rh 0.7500 0.7500 0.7500
Br 0.0969 0.0969 0.9039
Br 0.4031 0.4031 0.5961
In 0.2500 0.2500 0.2500
CELL_PARAMETERS angstrom
-1.2384 -1.0178 -6.4530
1.0651 -3.5662 -5.5099
-3.8403 -3.8579 -1.0447
```

## Properties
**Space-group type**: C2/m (12)
**E above lowest polymorph**: 82 meV/atom
**E_form (uncorrected)**: -19 kJ per mole of atoms

=====

Entry from Alexandria: an optimized crystal structure of Ac4IrOsI2 (GGA-PBE). Values from VASP.

Geometry as Quantum ESPRESSO input:
```
&SYSTEM
  ibrav = 0, nat = 8, ntyp = 4
/
ATOMIC_SPECIES
Ac 227.00 Ac.upf
Ir 192.22 Ir.upf
Os 190.23 Os.upf
I 126.90 I.upf
ATOMIC_POSITIONS crystal
Ac 0.5000 0.2314 0.1829
Ac 0.5000 0.7686 0.8171
Ac 0.0000 0.2758 0.8164
Ac 0.0000 0.7242 0.1836
Ir 0.0000 0.0000 0.0000
Os 0.5000 0.5000 0.0000
I 0.5000 0.0000 0.5000
I 0.0000 0.5000 0.5000
CELL_PARAMETERS angstrom
4.3962 0.0000 0.0000
0.0000 7.6011 0.1272
0.0000 -2.6845 8.5448
```

## Properties
**Space-group type**: P2/m (10)
**E_form (uncorrected)**: -80 kJ per mole of atoms

=====

Entry from Alexandria: an optimized crystal structure of Sm2YF11 (GGA-PBE). Values from VASP.

Geometry as Quantum ESPRESSO input:
```
&SYSTEM
  ibrav = 0, nat = 28, ntyp = 3
/
ATOMIC_SPECIES
Sm 150.36 Sm.upf
Y 88.91 Y.upf
F 19.00 F.upf
ATOMIC_POSITIONS crystal
Sm 0.6623 0.6903 0.3097
Sm 0.3377 0.3097 0.6903
Sm 0.8377 0.1903 0.8097
Sm 0.1623 0.8097 0.1903
Y 0.7500 0.7500 0.7500
Y 0.2500 0.2500 0.2500
F 0.6659 0.7086 0.5599
F 0.3341 0.2914 0.4401
F 0.0656 0.5599 0.7086
F 0.8341 0.9401 0.7914
F 0.9344 0.4401 0.2914
F 0.1659 0.0599 0.2086
F 0.4344 0.7914 0.9401
F 0.5656 0.2086 0.0599
F 0.5000 0.5000 0.5000
F 0.0000 0.0000 0.0000
F 0.8925 0.8100 0.1900
F 0.1075 0.1900 0.8100
F 0.6075 0.3100 0.6900
F 0.3925 0.6900 0.3100
F 0.4550 0.9765 0.3148
F 0.5450 0.0235 0.6852
F 0.2537 0.3148 0.9765
F 0.0450 0.1852 0.5235
F 0.7463 0.6852 0.0235
F 0.9550 0.8148 0.4765
F 0.2463 0.5235 0.1852
F 0.7537 0.4765 0.8148
CELL_PARAMETERS angstrom
-4.0786 -6.2309 4.2569
-2.6378 -7.1550 -4.3577
4.6039 -6.8204 3.0705
```

## Properties
**Space-group type**: Ibam (72)
**E_form (uncorrected)**: -330 kJ per mole of atoms

=====

Entry from Alexandria: an optimized crystal structure of SrAl2OsS (GGA-PBE). Values from VASP.

Geometry as Quantum ESPRESSO input:
```
&SYSTEM
  ibrav = 0, nat = 5, ntyp = 4
/
ATOMIC_SPECIES
Sr 87.62 Sr.upf
S 32.06 S.upf
Os 190.23 Os.upf
Al 26.98 Al.upf
ATOMIC_POSITIONS crystal
Sr 0.0000 0.5000 0.0000
S 0.5000 0.5000 0.5000
Os 0.0000 0.0000 0.0000
Al 0.0000 0.0000 0.5000
Al 0.5000 0.0000 0.0000
CELL_PARAMETERS angstrom
4.6844 0.0000 0.0000
0.0000 5.8988 0.0000
0.0000 0.0000 4.6844
```

## Properties
**Space-group type**: P4/mmm (123)
**E_form (uncorrected)**: -1 kJ per mole of atoms